No. 1
{
  "formula": "CaLa4Sn15",
  "functional": "PBE",
  "state": "optimized geometry",
  "lattice_angstrom": [[4.7761, 0.0000, 0.0000], [0.0000, 4.7761, 0.0000], [0.0000, 0.0000, 24.2167]],
  "species": ["Sn", "Sn", "Sn", "Sn", "Sn", "La", "Sn", "La", "Sn", "Sn", "Sn", "Ca", "Sn", "La", "La", "Sn", "Sn", "Sn", "Sn", "Sn"],
  "frac_coords": [[0.0000, 0.5000, 0.9024], [0.0000, 0.5000, 0.2993], [0.5000, 0.0000, 0.7007], [0.5000, 0.0000, 0.9024], [0.5000, 0.0000, 0.2993], [0.0000, 0.0000, 0.3995], [0.5000, 0.5000, 0.0000], [0.0000, 0.0000, 0.8001], [0.5000, 0.0000, 0.5000], [0.0000, 0.5000, 0.0976], [0.5000, 0.5000, 0.4004], [0.0000, 0.0000, 0.0000], [0.5000, 0.5000, 0.1983], [0.0000, 0.0000, 0.6005], [0.0000, 0.0000, 0.1999], [0.0000, 0.5000, 0.7007], [0.5000, 0.5000, 0.5996], [0.5000, 0.5000, 0.8017], [0.5000, 0.0000, 0.0976], [0.0000, 0.5000, 0.5000]]
}


No. 2
{
  "formula": "CaLa2Sn3",
  "functional": "PBE",
  "state": "optimized geometry",
  "lattice_angstrom": [[-5.4102, -0.3293, -3.7779], [3.5637, -2.0111, -4.9280], [0.5833, -7.4147, 5.5882]],
  "species": ["Sn", "Ca", "Sn", "La", "Sn", "La", "La", "Ca", "Sn", "La", "Sn", "Sn"],
  "frac_coords": [[0.7220, 0.9329, 0.6777], [0.1249, 0.2500, 0.0000], [0.0443, 0.5671, 0.3223], [0.4515, 0.4003, 0.6605], [0.3811, 0.7500, 0.0000], [0.2090, 0.9003, 0.6605], [0.5485, 0.5997, 0.3395], [0.8751, 0.7500, 0.0000], [0.2780, 0.0671, 0.3223], [0.7910, 0.0997, 0.3395], [0.9557, 0.4329, 0.6777], [0.6189, 0.2500, 0.0000]]
}


No. 3
{
  "formula": "CaLaSn",
  "functional": "PBE",
  "state": "optimized geometry",
  "lattice_angstrom": [[-0.8336, -2.5992, 4.6280], [-0.6258, -5.3364, 0.0092], [3.8429, -3.1521, 2.0409]],
  "species": ["Ca", "La", "Sn"],
  "frac_coords": [[0.5000, 0.5000, 0.5000], [0.0000, 0.0000, 0.0000], [0.2500, 0.2500, 0.2500]]
}


no.,energy relative to the elements (eV/atom)
1,-0.537
2,-0.622
3,-0.530